<one>
A relaxed MgGe2P crystal. Source: Alexandria via LeMat-Bulk, functional PBE-GGA. Values from VASP.

Values from the calculation:
* symmetry: I-42d, No. 122

Structure (Quantum ESPRESSO input):
```
&SYSTEM
  ibrav = 0, nat = 8, ntyp = 3
/
ATOMIC_SPECIES
Mg 24.30 Mg.upf
Ge 72.64 Ge.upf
P 30.97 P.upf
CELL_PARAMETERS angstrom
6.152 0.000 0.000
0.000 6.152 0.000
3.076 3.076 5.224
ATOMIC_POSITIONS angstrom
Mg 3.076 6.152 2.612
Ge 7.689 7.929 3.918
P 6.152 3.076 2.612
Ge 1.298 4.614 1.306
Mg 3.076 3.076 0.000
P 0.000 0.000 0.000
Ge 4.614 4.374 3.918
Ge 4.854 1.538 1.306
```

<two>
A relaxed MgGe2P crystal. Source: Alexandria via LeMat-Bulk, functional PBE-GGA. Values from VASP.

Values from the calculation:
* symmetry: Fm-3m, No. 225

Structure (Quantum ESPRESSO input):
```
&SYSTEM
  ibrav = 0, nat = 4, ntyp = 3
/
ATOMIC_SPECIES
P 30.97 P.upf
Ge 72.64 Ge.upf
Mg 24.30 Mg.upf
CELL_PARAMETERS angstrom
-4.368 -0.490 1.703
-1.647 3.063 3.181
-3.360 3.076 -1.210
ATOMIC_POSITIONS angstrom
P -4.687 2.824 1.837
Ge -2.344 1.412 0.919
Mg 0.000 0.000 0.000
Ge -7.031 4.237 2.756
```

<three>
A relaxed MgGe2P crystal. Source: Alexandria via LeMat-Bulk, functional PBE-GGA. Values from VASP.

Values from the calculation:
* symmetry: R-3m, No. 166

Structure (Quantum ESPRESSO input):
```
&SYSTEM
  ibrav = 0, nat = 4, ntyp = 3
/
ATOMIC_SPECIES
Ge 72.64 Ge.upf
Mg 24.30 Mg.upf
P 30.97 P.upf
CELL_PARAMETERS angstrom
3.460 0.000 0.000
1.730 2.996 0.000
1.730 0.999 8.541
ATOMIC_POSITIONS angstrom
Ge 1.730 0.999 5.796
Mg 0.000 0.000 0.000
Ge 5.190 2.996 2.744
P 3.460 1.997 4.270
```

Stability check: which of them is least stable? <two>.